No. 1
# Th3Zn2Cd4, relaxed, DFT PBE
data_Th3Zn2Cd4
_cell_length_a 7.3957
_cell_length_b 7.3957
_cell_length_c 4.6422
_cell_angle_alpha 90.00
_cell_angle_beta 90.00
_cell_angle_gamma 120.00
_symmetry_space_group_name_H-M 'P -6 2 m'
_symmetry_Int_Tables_number 189
_symmetry_space_group_name_Hall 'P -6 -2'
loop_
_atom_site_label
_atom_site_type_symbol
_atom_site_fract_x
_atom_site_fract_y
_atom_site_fract_z
Th1 Th 0.0000 0.4374 0.0000
Zn1 Zn 0.3333 0.6667 0.5000
Cd1 Cd 0.0000 0.0000 0.0000
Cd2 Cd 0.0000 0.7519 0.5000
# formation energy	-212	meV per atom
# final energy	-30.4	eV for the cell shown
# energy above the lowest structure with this stoichiometry	0.000	eV/atom

No. 2
# ThZn10Cd, relaxed, DFT PBE
data_ThZn10Cd
_cell_length_a 4.306
_cell_length_b 5.268
_cell_length_c 9.317
_cell_angle_alpha 90.00
_cell_angle_beta 90.00
_cell_angle_gamma 90.00
_symmetry_space_group_name_H-M 'P m m m'
_symmetry_Int_Tables_number 47
loop_
_symmetry_equiv_pos_as_xyz
'x,y,z'
'-x,-y,-z'
'-x,-y,z'
'x,y,-z'
'x,-y,-z'
'-x,y,z'
'-x,y,-z'
'x,-y,z'
loop_
_atom_site_label
_atom_site_type_symbol
_atom_site_fract_x
_atom_site_fract_y
_atom_site_fract_z
Th1 Th 0.000 0.000 0.000
Zn1 Zn 0.000 0.000 0.346
Zn2 Zn 0.000 0.500 0.196
Zn3 Zn 0.500 0.000 0.500
Zn4 Zn 0.500 0.239 0.236
Zn5 Zn 0.500 0.500 0.000
Cd1 Cd 0.000 0.500 0.500
# formation energy	-95	meV per atom
# final energy	-22.2	eV for the cell shown

No. 3
# ThZnCd2, relaxed, DFT PBE
data_ThZnCd2
_cell_length_a 4.457
_cell_length_b 4.457
_cell_length_c 4.932
_cell_angle_alpha 90.00
_cell_angle_beta 90.00
_cell_angle_gamma 90.00
_symmetry_space_group_name_H-M 'P 4/m m m'
_symmetry_Int_Tables_number 123
_symmetry_space_group_name_Hall '-P 4 2'
loop_
_atom_site_label
_atom_site_type_symbol
_atom_site_fract_x
_atom_site_fract_y
_atom_site_fract_z
Th1 Th 0.000 0.000 0.000
Zn1 Zn 0.500 0.500 0.000
Cd1 Cd 0.000 0.500 0.500
# formation energy	-68	meV per atom
# final energy	-10.8	eV for the cell shown

No. 4
# Th2ZnCd, relaxed, DFT PBE
data_Th2ZnCd
_cell_length_a 3.3832
_cell_length_b 3.3832
_cell_length_c 34.7414
_cell_angle_alpha 90.00
_cell_angle_beta 90.00
_cell_angle_gamma 120.00
_symmetry_space_group_name_H-M 'R -3 m'
_symmetry_Int_Tables_number 166
_symmetry_space_group_name_Hall '-R 3 2"'
loop_
_atom_site_label
_atom_site_type_symbol
_atom_site_fract_x
_atom_site_fract_y
_atom_site_fract_z
Th1 Th 0.0000 0.0000 0.0960
Zn1 Zn 0.0000 0.0000 0.5000
Cd1 Cd 0.0000 0.0000 0.0000
# formation energy	206	meV per atom
# final energy	-48.6	eV for the cell shown
# energy above the lowest structure with this stoichiometry	0.313	eV/atom

No. 5
# ThZn3Cd9, relaxed, DFT PBE
data_ThZn3Cd9
_cell_length_a 5.712
_cell_length_b 13.811
_cell_length_c 7.471
_cell_angle_alpha 90.00
_cell_angle_beta 111.89
_cell_angle_gamma 90.00
_symmetry_space_group_name_H-M 'C 1 2/m 1'
_symmetry_Int_Tables_number 12
loop_
_symmetry_equiv_pos_as_xyz
'x,y,z'
'-x,-y,-z'
'-x,y,-z'
'x,-y,z'
'x+1/2,y+1/2,z'
'-x+1/2,-y+1/2,-z'
'-x+1/2,y+1/2,-z'
'x+1/2,-y+1/2,z'
loop_
_atom_site_label
_atom_site_type_symbol
_atom_site_fract_x
_atom_site_fract_y
_atom_site_fract_z
Th1 Th 0.000 0.000 0.000
Zn1 Zn 0.000 0.500 0.500
Zn2 Zn 0.250 0.250 0.000
Cd1 Cd 0.000 0.000 0.500
Cd2 Cd 0.100 0.391 0.212
Cd3 Cd 0.175 0.177 0.344
# formation energy	-62	meV per atom
# final energy	-40.6	eV for the cell shown

No. 6
# ThZn2Cd, relaxed, DFT PBE
data_ThZn2Cd
_cell_length_a 4.743
_cell_length_b 4.743
_cell_length_c 4.064
_cell_angle_alpha 90.00
_cell_angle_beta 90.00
_cell_angle_gamma 90.00
_symmetry_space_group_name_H-M 'P 4/m m m'
_symmetry_Int_Tables_number 123
_symmetry_space_group_name_Hall '-P 4 2'
loop_
_atom_site_label
_atom_site_type_symbol
_atom_site_fract_x
_atom_site_fract_y
_atom_site_fract_z
Th1 Th 0.000 0.000 0.000
Zn1 Zn 0.000 0.500 0.500
Cd1 Cd 0.500 0.500 0.000
# formation energy	-82	meV per atom
# final energy	-11.2	eV for the cell shown
# energy above the lowest structure with this stoichiometry	0.099	eV/atom

No. 7
# ThZnCd2, relaxed, DFT PBE
data_ThZnCd2
_cell_length_a 4.7119
_cell_length_b 4.7119
_cell_length_c 15.0002
_cell_angle_alpha 90.00
_cell_angle_beta 90.00
_cell_angle_gamma 120.00
_symmetry_space_group_name_H-M 'R -3 m'
_symmetry_Int_Tables_number 166
_symmetry_space_group_name_Hall '-R 3 2"'
loop_
_atom_site_label
_atom_site_type_symbol
_atom_site_fract_x
_atom_site_fract_y
_atom_site_fract_z
Th1 Th 0.0000 0.0000 0.0000
Zn1 Zn 0.0000 0.0000 0.5000
Cd1 Cd 0.0000 0.0000 0.2221
# formation energy	-18	meV per atom
# final energy	-31.8	eV for the cell shown

No. 8
# ThZn3Cd3, relaxed, DFT PBE
data_ThZn3Cd3
_cell_length_a 7.124
_cell_length_b 7.124
_cell_length_c 7.124
_cell_angle_alpha 90.00
_cell_angle_beta 90.00
_cell_angle_gamma 90.00
_symmetry_space_group_name_H-M 'P m -3 n'
_symmetry_Int_Tables_number 223
_symmetry_space_group_name_Hall '-P 4n 2 3'
loop_
_atom_site_label
_atom_site_type_symbol
_atom_site_fract_x
_atom_site_fract_y
_atom_site_fract_z
Th1 Th 0.000 0.000 0.000
Zn1 Zn 0.000 0.250 0.500
Cd1 Cd 0.000 0.500 0.250
# formation energy	466	meV per atom
# final energy	-21.4	eV for the cell shown
# energy above the lowest structure with this stoichiometry	0.494	eV/atom